## DySi3NiIr (GGA-PBE)

Data for a geometry-optimized DySi3NiIr structure.

Calculated values
Total magnetization (μB/atom): 0.000
Space-group type: No. 63
VASP energy (eV/atom): -6.4061

abc: 7.1621 7.1621 5.5100
angles: 90.00 90.00 129.15
Positions (direct):
Dy (0.1939, 0.8061, 0.7500)
Dy (0.8061, 0.1939, 0.2500)
Si (0.2128, 0.7872, 0.2500)
Si (0.2848, 0.2848, 0.0000)
Si (0.2848, 0.2848, 0.5000)
Si (0.7152, 0.7152, 0.0000)
Si (0.7152, 0.7152, 0.5000)
Si (0.7872, 0.2128, 0.7500)
Ni (0.0458, 0.9542, 0.2500)
Ni (0.9542, 0.0458, 0.7500)
Ir (0.3872, 0.6128, 0.2500)
Ir (0.6128, 0.3872, 0.7500)

## CaTbZnRh (GGA-PBE)

Data for a geometry-optimized CaTbZnRh structure.

Calculated values
Total magnetization (μB/atom): 0.000
Space-group type: No. 216
VASP energy (eV/atom): -4.2456

abc: 7.0254 7.0254 7.0254
angles: 90.00 90.00 90.00
Positions (direct):
Ca (0.0000, 0.0000, 0.0000)
Ca (0.0000, 0.5000, 0.5000)
Ca (0.5000, 0.0000, 0.5000)
Ca (0.5000, 0.5000, 0.0000)
Tb (0.0000, 0.0000, 0.5000)
Tb (0.0000, 0.5000, 0.0000)
Tb (0.5000, 0.0000, 0.0000)
Tb (0.5000, 0.5000, 0.5000)
Zn (0.2500, 0.2500, 0.2500)
Zn (0.2500, 0.7500, 0.7500)
Zn (0.7500, 0.2500, 0.7500)
Zn (0.7500, 0.7500, 0.2500)
Rh (0.2500, 0.2500, 0.7500)
Rh (0.2500, 0.7500, 0.2500)
Rh (0.7500, 0.2500, 0.2500)
Rh (0.7500, 0.7500, 0.7500)

- Look up the VASP energy of the first one.
  -6.4061 eV/atom

- Which of these has the highest VASP energy?
  CaTbZnRh